1.
# PmGdMgOs PBE-GGA optimized geometry
# - formation enthalpy at 0 K (eV per formula unit) = -0.2
# - density (g/cm³) = 9.3
# - crystal system = cubic
# - space-group type = No. 216
# - M_tot (μB per cell) = 7.07
# - DOS(E_F) (states/eV per cell) = 3.188
data_PmGdMgOs
_space_group_name_H-M_alt 'P 1'
_space_group_IT_number 1
_cell_length_a 5.080
_cell_length_b 5.080
_cell_length_c 5.080
_cell_angle_alpha 60.00
_cell_angle_beta 60.00
_cell_angle_gamma 60.00
loop_
_space_group_symop_operation_xyz
'x,y,z'
loop_
_atom_site_label
_atom_site_type_symbol
_atom_site_fract_x
_atom_site_fract_y
_atom_site_fract_z
_atom_site_occupancy
Pm1 Pm 0.250 0.250 0.250 1
Mg1 Mg 0.000 0.000 0.000 1
Os1 Os 0.500 0.500 0.500 1
Gd1 Gd 0.750 0.750 0.750 1

=====

2.
# Rb3U3PaTe8 PBE-GGA optimized geometry
# - density (g/cm³) = 6.1
# - crystal system = trigonal
# - space-group type = No. 166
# - M_tot (μB per cell) = 10.00
# - energy (hartree per atom) = -0.2060
# - DOS(E_F) (states/eV per cell) = 20.816
data_Rb3U3PaTe8
_space_group_name_H-M_alt 'P 1'
_space_group_IT_number 1
_cell_length_a 8.868
_cell_length_b 8.868
_cell_length_c 10.219
_cell_angle_alpha 115.72
_cell_angle_beta 89.99
_cell_angle_gamma 120.00
loop_
_space_group_symop_operation_xyz
'x,y,z'
loop_
_atom_site_label
_atom_site_type_symbol
_atom_site_fract_x
_atom_site_fract_y
_atom_site_fract_z
_atom_site_occupancy
Te1 Te 0.233 0.466 0.701 1
Te2 Te 0.767 0.032 0.299 1
Te3 Te 0.734 0.469 0.703 1
Te4 Te 0.265 0.032 0.299 1
Te5 Te 0.767 0.534 0.299 1
Te6 Te 0.735 0.968 0.701 1
Te7 Te 0.266 0.531 0.297 1
Te8 Te 0.233 0.968 0.701 1
Rb1 Rb 0.000 0.500 0.000 1
Rb2 Rb 0.000 0.000 0.000 1
Rb3 Rb 0.500 0.500 0.000 1
Pa1 Pa 0.000 0.000 0.500 1
U1 U 0.500 0.500 0.500 1
U2 U 0.500 0.000 0.500 1
U3 U 0.000 0.500 0.500 1

=====

3.
# La6Tb12Pm PBE-GGA optimized geometry
# - formation enthalpy at 0 K (eV per formula unit) = 4.0
# - density (g/cm³) = 7.4
# - crystal system = cubic
# - space-group type = No. 204
# - M_tot (μB per cell) = 0.00
# - DOS(E_F) (states/eV per cell) = 19.899
data_La6Tb12Pm
_space_group_name_H-M_alt 'P 1'
_space_group_IT_number 1
_cell_length_a 9.422
_cell_length_b 9.422
_cell_length_c 9.422
_cell_angle_alpha 109.47
_cell_angle_beta 109.47
_cell_angle_gamma 109.47
loop_
_space_group_symop_operation_xyz
'x,y,z'
loop_
_atom_site_label
_atom_site_type_symbol
_atom_site_fract_x
_atom_site_fract_y
_atom_site_fract_z
_atom_site_occupancy
La1 La 0.641 0.500 0.141 1
La2 La 0.359 0.500 0.859 1
La3 La 0.500 0.859 0.359 1
La4 La 0.859 0.359 0.500 1
La5 La 0.141 0.641 0.500 1
La6 La 0.500 0.141 0.641 1
Tb1 Tb 0.059 0.800 0.259 1
Tb2 Tb 0.800 0.259 0.059 1
Tb3 Tb 0.458 0.200 0.259 1
Tb4 Tb 0.741 0.542 0.800 1
Tb5 Tb 0.259 0.059 0.800 1
Tb6 Tb 0.542 0.800 0.741 1
Tb7 Tb 0.200 0.259 0.458 1
Tb8 Tb 0.941 0.200 0.741 1
Tb9 Tb 0.800 0.741 0.542 1
Tb10 Tb 0.259 0.458 0.200 1
Tb11 Tb 0.741 0.941 0.200 1
Tb12 Tb 0.200 0.741 0.941 1
Pm1 Pm 0.000 0.000 0.000 1

=====

4.
# TbTm2BiC PBE-GGA optimized geometry
# - formation enthalpy at 0 K (eV per formula unit) = -2.7
# - density (g/cm³) = 10.2
# - crystal system = tetragonal
# - space-group type = No. 123
# - M_tot (μB per cell) = 0.00
# - DOS(E_F) (states/eV per cell) = 3.308
data_TbTm2BiC
_space_group_name_H-M_alt 'P 1'
_space_group_IT_number 1
_cell_length_a 4.982
_cell_length_b 4.838
_cell_length_c 4.838
_cell_angle_alpha 90.00
_cell_angle_beta 90.00
_cell_angle_gamma 90.00
loop_
_space_group_symop_operation_xyz
'x,y,z'
loop_
_atom_site_label
_atom_site_type_symbol
_atom_site_fract_x
_atom_site_fract_y
_atom_site_fract_z
_atom_site_occupancy
Tb1 Tb 0.500 0.000 0.000 1
Bi1 Bi 0.500 0.500 0.500 1
C1 C 0.000 0.000 0.000 1
Tm1 Tm 0.000 0.000 0.500 1
Tm2 Tm 0.000 0.500 0.000 1